Record 1
Density functional theory data (PBE) for a geometry-optimized Sr2ScTlH structure.

The uncorrected energy comes out at -16.04 eV per formula unit.

The space group is P4/mmm (No. 123) and the conventional cell measures 5.163, 5.163 and 4.921 Å, with angles of 90.00, 90.00 and 90.00 degrees. The distinct sites, in fractional coordinates, are Sr at (0.000, 0.500, 0.000), Sc at (0.000, 0.000, 0.500), Tl at (0.500, 0.500, 0.500) and H at (0.000, 0.000, 0.000).

Record 2
Density functional theory data (PBE) for a geometry-optimized LiCd2Pb structure.

For the formation energy, the calculation gives -0.10 eV/atom. The uncorrected energy comes out at -7.86 eV per formula unit.

The space group is Pmmm (No. 47) and the conventional cell measures 3.665, 4.304 and 5.997 Å, with angles of 90.00, 90.00 and 90.00 degrees. The distinct sites, in fractional coordinates, are Li at (0.000, 0.000, 0.000), Cd at (0.500, 0.500, 0.238) and Pb at (0.000, 0.000, 0.500).

Record 3
Density functional theory data (PBE) for a geometry-optimized PmDyCuPt structure.

For the formation energy, the calculation gives -0.71 eV/atom. The calculation puts the energy relative to the lowest polymorph listed for this composition at 0.19 eV/f.u. The uncorrected energy comes out at -22.32 eV per formula unit.

The space group is F-43m (No. 216) and the conventional cell measures 7.062, 7.062 and 7.062 Å, with angles of 90.00, 90.00 and 90.00 degrees. The distinct sites, in fractional coordinates, are Pm at (0.000, 0.000, 0.000), Dy at (0.000, 0.000, 0.500), Cu at (0.250, 0.250, 0.250) and Pt at (0.250, 0.250, 0.750).

Record 4
Density functional theory data (PBE) for a geometry-optimized Pa2CdHg structure.

For the formation energy, the calculation gives 0.27 eV/atom. The calculation puts the energy relative to the lowest polymorph listed for this composition at 0.84 eV/f.u. The uncorrected energy comes out at -19.14 eV per formula unit.

The space group is R-3m (No. 166, hexagonal axes) and the conventional cell measures 3.1270, 3.1270 and 36.4297 Å, with angles of 90.00, 90.00 and 120.00 degrees. The distinct sites, in fractional coordinates, are Pa at (0.0000, 0.0000, 0.0904), Cd at (0.0000, 0.0000, 0.0000) and Hg at (0.0000, 0.0000, 0.5000).

Record 5
Density functional theory data (PBE) for a geometry-optimized P2HPd2 structure.

The calculation puts the energy relative to the lowest polymorph listed for this composition at 2.26 eV/f.u. The uncorrected energy comes out at -22.13 eV per formula unit.

The space group is I4/mmm (No. 139) and the conventional cell measures 4.171, 4.171 and 10.022 Å, with angles of 90.00, 90.00 and 90.00 degrees. The distinct sites, in fractional coordinates, are P at (0.000, 0.500, 0.250), H at (0.000, 0.000, 0.000) and Pd at (0.000, 0.000, 0.364).

Record 6
Density functional theory data (PBE) for a geometry-optimized Ac3C4O12F structure.

The uncorrected energy comes out at -155.16 eV per formula unit.

The space group is R32 (No. 155, hexagonal axes) and the conventional cell measures 10.3287, 10.3287 and 10.8707 Å, with angles of 90.00, 90.00 and 120.00 degrees. The distinct sites, in fractional coordinates, are Ac at (0.0000, 0.5266, 0.0000), C at (0.0000, 0.0000, 0.5000), C at (0.0000, 0.4935, 0.5000), O at (0.0000, 0.6210, 0.5000), O at (0.0000, 0.8749, 0.5000), O at (0.0617, 0.2522, 0.7528) and F at (0.0000, 0.0000, 0.0000).

Record 7
Density functional theory data (PBE) for a geometry-optimized ReWN2 structure.

The calculation puts the energy relative to the lowest polymorph listed for this composition at 0.00 eV/f.u. The uncorrected energy comes out at -41.47 eV per formula unit.

The space group is R-3m (No. 166, hexagonal axes) and the conventional cell measures 2.8381, 2.8381 and 19.9951 Å, with angles of 90.00, 90.00 and 120.00 degrees. The distinct sites, in fractional coordinates, are Re at (0.0000, 0.0000, 0.0000), W at (0.0000, 0.0000, 0.5000) and N at (0.0000, 0.0000, 0.1004).

Record 8
Density functional theory data (PBE) for a geometry-optimized Li2NiRu structure.

For the formation energy, the calculation gives 0.35 eV/atom. The calculation puts the energy relative to the lowest polymorph listed for this composition at 1.19 eV/f.u. The uncorrected energy comes out at -17.49 eV per formula unit.

The space group is P4/mmm (No. 123) and the conventional cell measures 4.420, 4.420 and 2.488 Å, with angles of 90.00, 90.00 and 90.00 degrees. The distinct sites, in fractional coordinates, are Li at (0.000, 0.500, 0.000), Ni at (0.000, 0.000, 0.500) and Ru at (0.500, 0.500, 0.500).

Record 9
Density functional theory data (PBE) for a geometry-optimized LiLaSi2Pd5 structure.

The uncorrected energy comes out at -49.77 eV per formula unit.

The space group is P4/mmm (No. 123) and the conventional cell measures 4.186, 4.186 and 9.034 Å, with angles of 90.00, 90.00 and 90.00 degrees. The distinct sites, in fractional coordinates, are Li at (0.000, 0.000, 0.000), La at (0.000, 0.000, 0.500), Si at (0.500, 0.500, 0.128), Pd at (0.000, 0.500, 0.256) and Pd at (0.500, 0.500, 0.500).

Record 10
Density functional theory data (PBE) for a geometry-optimized Ca2SnPdO6 structure.

The uncorrected energy comes out at -61.22 eV per formula unit.

The space group is P2_1/c (No. 14) and the conventional cell measures 5.524, 5.703 and 9.564 Å, with angles of 90.00, 124.58 and 90.00 degrees. The distinct sites, in fractional coordinates, are Ca at (0.232, 0.059, 0.249), Sn at (0.500, 0.000, 0.000), Pd at (0.000, 0.000, 0.500), O at (0.138, 0.203, 0.943), O at (0.242, 0.700, 0.942) and O at (0.356, 0.041, 0.747).

Record 11
Density functional theory data (PBE) for a geometry-optimized Sm2ScB2Rh5 structure.

For the formation energy, the calculation gives -0.77 eV/atom. The uncorrected energy comes out at -73.55 eV per formula unit.

The space group is P4/mbm (No. 127) and the conventional cell measures 9.812, 9.812 and 3.226 Å, with angles of 90.00, 90.00 and 90.00 degrees. The distinct sites, in fractional coordinates, are Sm at (0.175, 0.325, 0.000), Sc at (0.000, 0.000, 0.000), B at (0.121, 0.621, 0.000), Rh at (0.000, 0.500, 0.500) and Rh at (0.071, 0.773, 0.500).

Record 12
Density functional theory data (PBE) for a geometry-optimized InGaNiRh structure.

For the formation energy, the calculation gives -0.30 eV/atom. The uncorrected energy comes out at -20.10 eV per formula unit.

The space group is F-43m (No. 216) and the conventional cell measures 6.213, 6.213 and 6.213 Å, with angles of 90.00, 90.00 and 90.00 degrees. The distinct sites, in fractional coordinates, are In at (0.000, 0.000, 0.000), Ga at (0.000, 0.000, 0.500), Ni at (0.250, 0.250, 0.750) and Rh at (0.250, 0.250, 0.250).

Record 13
Density functional theory data (PBE) for a geometry-optimized KNa2CdF6 structure.

The uncorrected energy comes out at -38.85 eV per formula unit.

The space group is P2_1/c (No. 14) and the conventional cell measures 6.003, 6.311 and 10.448 Å, with angles of 90.00, 124.15 and 90.00 degrees. The distinct sites, in fractional coordinates, are K at (0.000, 0.000, 0.000), Na at (0.214, 0.029, 0.713), Cd at (0.500, 0.000, 0.500), F at (0.160, 0.149, 0.478), F at (0.207, 0.741, 0.366) and F at (0.435, 0.146, 0.290).

Record 14
Density functional theory data (PBE) for a geometry-optimized DyZrInOs structure.

For the formation energy, the calculation gives -0.39 eV/atom. The uncorrected energy comes out at -28.68 eV per formula unit.

The space group is P4mm (No. 99) and the conventional cell measures 3.318, 3.318 and 7.886 Å, with angles of 90.00, 90.00 and 90.00 degrees. The distinct sites, in fractional coordinates, are Dy at (0.000, 0.000, 0.000), Zr at (0.000, 0.000, 0.574), In at (0.500, 0.500, 0.302) and Os at (0.500, 0.500, 0.766).

Record 15
Density functional theory data (PBE) for a geometry-optimized KAgCl2 structure.

The uncorrected energy comes out at -11.88 eV per formula unit.

The space group is Cmmm (No. 65) and the conventional cell measures 4.261, 6.713 and 7.663 Å, with angles of 90.00, 90.00 and 90.00 degrees. The distinct sites, in fractional coordinates, are K at (0.000, 0.000, 0.000), Ag at (0.000, 0.000, 0.500) and Cl at (0.000, 0.500, 0.275).

Record 16
Density functional theory data (PBE) for a geometry-optimized AlHg2As structure.

For the formation energy, the calculation gives 0.23 eV/atom. The calculation puts the energy relative to the lowest polymorph listed for this composition at 1.06 eV/f.u. The uncorrected energy comes out at -8.06 eV per formula unit.

The space group is I-42d (No. 122) and the conventional cell measures 7.845, 7.845 and 5.829 Å, with angles of 90.00, 90.00 and 90.00 degrees. The distinct sites, in fractional coordinates, are Al at (0.000, 0.000, 0.000), Hg at (0.246, 0.250, 0.125) and As at (0.000, 0.000, 0.500).

Record 17
Density functional theory data (PBE) for a geometry-optimized Sr2AgPd structure.

For the formation energy, the calculation gives -0.42 eV/atom. The uncorrected energy comes out at -13.09 eV per formula unit.

The space group is P4/mmm (No. 123) and the conventional cell measures 3.818, 3.818 and 7.734 Å, with angles of 90.00, 90.00 and 90.00 degrees. The distinct sites, in fractional coordinates, are Sr at (0.000, 0.000, 0.234), Ag at (0.500, 0.500, 0.500) and Pd at (0.500, 0.500, 0.000).

Record 18
Density functional theory data (PBE) for a geometry-optimized Ti3PtO structure.

The uncorrected energy comes out at -40.55 eV per formula unit.

The space group is R-3 (No. 148, hexagonal axes) and the conventional cell measures 5.3268, 5.3268 and 18.6379 Å, with angles of 90.00, 90.00 and 120.00 degrees. The distinct sites, in fractional coordinates, are Ti at (0.0060, 0.3466, 0.3931), Pt at (0.0000, 0.0000, 0.1613) and O at (0.0000, 0.0000, 0.3423).

Record 19
Density functional theory data (PBE) for a geometry-optimized Sm2YSnC structure.

For the formation energy, the calculation gives -0.57 eV/atom. The uncorrected energy comes out at -31.99 eV per formula unit.

The space group is P4/mmm (No. 123) and the conventional cell measures 5.032, 5.032 and 4.904 Å, with angles of 90.00, 90.00 and 90.00 degrees. The distinct sites, in fractional coordinates, are Sm at (0.000, 0.500, 0.000), Y at (0.000, 0.000, 0.500), Sn at (0.500, 0.500, 0.500) and C at (0.000, 0.000, 0.000).

Record 20
Density functional theory data (PBE) for a geometry-optimized Ho4Pt2Rh structure.

For the formation energy, the calculation gives -1.02 eV/atom. The uncorrected energy comes out at -44.91 eV per formula unit.

The space group is R-3m (No. 166, hexagonal axes) and the conventional cell measures 4.8540, 4.8540 and 23.8457 Å, with angles of 90.00, 90.00 and 120.00 degrees. The distinct sites, in fractional coordinates, are Ho at (0.0000, 0.0000, 0.1244), Ho at (0.0000, 0.0000, 0.3746), Pt at (0.0000, 0.0000, 0.2490) and Rh at (0.0000, 0.0000, 0.0000).